DFT (PBE) results for a relaxed structure of La3Cd2Co.

Structure (CIF):
```
data_La3Cd2Co
_symmetry_space_group_name_H-M 'C m m m'
_symmetry_Int_Tables_number 65
_symmetry_space_group_name_Hall '-C 2 2'
_cell_length_a 5.3192
_cell_length_b 17.0816
_cell_length_c 3.7379
_cell_angle_alpha 90.00
_cell_angle_beta 90.00
_cell_angle_gamma 90.00
loop_
_atom_site_label
_atom_site_fract_x
_atom_site_fract_y
_atom_site_fract_z
La1 0.0000 0.0000 0.0000
La2 0.0000 0.3730 0.5000
Cd1 0.0000 0.2020 0.0000
Co1 0.0000 0.5000 0.0000
```

Output
**ΔE_f**: -0.236 eV per atom
**D(E_F)**: 0.882 states/eV per atom
**Uncorrected energy**: -4.1889 eV/atom

DFT (PBE) results for a relaxed structure of La7Cd2Co2.

Structure (CIF):
```
data_La7Cd2Co2
_symmetry_space_group_name_H-M 'I m m 2'
_symmetry_Int_Tables_number 44
_cell_length_a 3.8328
_cell_length_b 15.3805
_cell_length_c 11.0441
_cell_angle_alpha 90.00
_cell_angle_beta 90.00
_cell_angle_gamma 90.00
loop_
_symmetry_equiv_pos_as_xyz
'x,y,z'
'-x,-y,z'
'-x,y,z'
'x,-y,z'
'x+1/2,y+1/2,z+1/2'
'-x+1/2,-y+1/2,z+1/2'
'-x+1/2,y+1/2,z+1/2'
'x+1/2,-y+1/2,z+1/2'
loop_
_atom_site_label
_atom_site_fract_x
_atom_site_fract_y
_atom_site_fract_z
La1 0.0000 0.0000 0.0000
La2 0.0000 0.1843 0.5125
La3 0.0000 0.3427 0.3062
La4 0.0000 0.3637 0.7118
Cd1 0.0000 0.0000 0.6867
Cd2 0.0000 0.5000 0.9690
Co1 0.0000 0.1828 0.0245
```

Output
**ΔE_f**: -0.108 eV per atom
**D(E_F)**: 1.275 states/eV per atom
**Energy above the most stable polymorph in this dataset**: 0.019 eV per atom
**Uncorrected energy**: -4.7024 eV/atom

DFT (PBE) results for a relaxed structure of LaCdCo2.

Structure (CIF):
```
data_LaCdCo2
_symmetry_space_group_name_H-M 'P 4 m m'
_symmetry_Int_Tables_number 99
_cell_length_a 3.1411
_cell_length_b 3.1411
_cell_length_c 7.5778
_cell_angle_alpha 90.00
_cell_angle_beta 90.00
_cell_angle_gamma 90.00
loop_
_symmetry_equiv_pos_as_xyz
'x,y,z'
'-y,x,z'
'-x,-y,z'
'y,-x,z'
'-x,y,z'
'y,x,z'
'x,-y,z'
'-y,-x,z'
loop_
_atom_site_label
_atom_site_fract_x
_atom_site_fract_y
_atom_site_fract_z
La1 0.0000 0.0000 0.0000
Cd1 0.5000 0.5000 0.3557
Co1 0.0000 0.0000 0.5920
Co2 0.5000 0.5000 0.7212
```

Output
**ΔE_f**: 0.112 eV per atom
**D(E_F)**: 1.116 states/eV per atom
**Uncorrected energy**: -4.9011 eV/atom